NiGeP2O after structural relaxation. Source: Alexandria via LeMat-Bulk, functional PBE with a Hubbard U.

Its raw total energy is -3.9947 eV/atom. The calculation puts the energy above the most stable polymorph in this dataset at 121 meV per atom.

It has space group P4/mmm (No. 123), with a = 4.881 Å, b = 4.881 Å, c = 3.494 Å, α = 90.00°, β = 90.00° and γ = 90.00°. The inequivalent atoms are Ni at (0.000, 0.000, 0.000), Ge at (0.500, 0.500, 0.500), P at (0.000, 0.500, 0.500) and O at (0.500, 0.500, 0.000).